Entry 1:
Here is Pr2AgAs after structural relaxation from Alexandria via LeMat-Bulk. Energies are from PBE-GGA.

Summary:
VASP energy (eV per atom): -4.61
Energy relative to the elements (eV/atom): -0.344

Cell: 9.8727 9.8727 9.8727 Å, 23.77 23.77 23.77°
Element x y z (fractional)
Pr  0.1065  0.1065  0.1065
Pr  0.8935  0.8935  0.8935
Ag  0.0000  0.0000  0.0000
As  0.5000  0.5000  0.5000

Entry 2:
Here is Pr2AgAs3Pt4 after structural relaxation from Alexandria via LeMat-Bulk. Energies are from PBE-GGA.

Summary:
VASP energy (eV per atom): -5.82
Energy relative to the elements (eV/atom): -0.764

Cell: 4.3857 4.3857 10.4847 Å, 90.00 90.00 90.00°
Element x y z (fractional)
Pr  0.0000  0.5000  0.2423
Pr  0.5000  0.0000  0.7577
Ag  0.0000  0.0000  0.5000
As  0.0000  0.5000  0.8719
As  0.5000  0.0000  0.1281
As  0.5000  0.5000  0.5000
Pt  0.0000  0.0000  0.0000
Pt  0.0000  0.5000  0.6422
Pt  0.5000  0.0000  0.3578
Pt  0.5000  0.5000  0.0000

Entry 3:
Here is Pr2AgAs4Rh3 after structural relaxation from Alexandria via LeMat-Bulk. Energies are from PBE-GGA.

Summary:
VASP energy (eV per atom): -6.12
Energy relative to the elements (eV/atom): -0.812

Cell: 4.3800 4.3800 10.0863 Å, 90.00 90.00 90.00°
Element x y z (fractional)
Pr  0.0000  0.5000  0.2433
Pr  0.5000  0.0000  0.7567
Ag  0.0000  0.0000  0.5000
As  0.0000  0.0000  0.0000
As  0.0000  0.5000  0.6438
As  0.5000  0.0000  0.3562
As  0.5000  0.5000  0.0000
Rh  0.0000  0.5000  0.8858
Rh  0.5000  0.0000  0.1142
Rh  0.5000  0.5000  0.5000

> What is the energy relative to the elements in the first record?

-0.344 eV/atom

> Which of these has the lowest energy relative to the elements?

Pr2AgAs4Rh3

> What is the formula in the first record?

Pr2AgAs